(1)
A relaxed SrRu3W crystal, computed with GGA-PBE.

The calculation puts the distance to the lowest polymorph of the same formula at 0.0 meV per atom. As for the space group: Pm-3m (221). The size of the total moment comes out at 0.0 μB per formula unit. As for the mass density: 8.73 g/cm³.

Cell: 4.781 4.781 4.781 Å, 90.00 90.00 90.00°
Fractional positions:
Sr: 0.000 0.000 0.000
Ru: 0.000 0.500 0.500
Ru: 0.500 0.000 0.500
Ru: 0.500 0.500 0.000
W: 0.500 0.500 0.500

(2)
A relaxed SrRu4W crystal, computed with GGA-PBE.

Its raw total energy is -48.32 eV for the cell shown. As for the space group: F-43m (216). The size of the total moment comes out at 0.0 μB per formula unit. As for the mass density: 11.03 g/cm³.

Cell: 5.240 5.240 5.240 Å, 60.00 60.00 60.00°
Fractional positions:
Sr: 0.000 0.000 0.000
Ru: 0.375 0.375 0.375
Ru: 0.375 0.375 0.874
Ru: 0.375 0.874 0.375
Ru: 0.874 0.375 0.375
W: 0.750 0.750 0.750

Fermi-level density of states? In order: 1.41 1.25 states/eV per atom.